The following is a PBE-GGA calculation of crystalline AgBiPd2 at its relaxed geometry, from OQMD via LeMat-Bulk.

Summary:
As for the volume: 18.53 A^3/atom. The total energy comes out at -4.42 eV/atom.

The structure in extended XYZ format:
```
16
Lattice="6.6686 0.0000 0.0000 0.0000 6.6686 0.0000 0.0000 0.0000 6.6686" Properties=species:S:1:pos:R:3 pbc="T T T"
Ag 0.0000 0.0000 0.0000
Ag 0.0000 3.3343 3.3343
Ag 3.3343 0.0000 3.3343
Ag 3.3343 3.3343 0.0000
Bi 1.6671 1.6671 5.0014
Bi 1.6671 5.0014 1.6671
Bi 5.0014 1.6671 1.6671
Bi 5.0014 5.0014 5.0014
Pd 0.0000 0.0000 3.3343
Pd 0.0000 3.3343 0.0000
Pd 1.6671 1.6671 1.6671
Pd 1.6671 5.0014 5.0014
Pd 3.3343 0.0000 0.0000
Pd 3.3343 3.3343 3.3343
Pd 5.0014 1.6671 5.0014
Pd 5.0014 5.0014 1.6671
```